The following is a PBE calculation of a relaxed structure of KTi2GaO6, from Alexandria.

The total magnetization is 0.00 μB per formula unit. The value obtained for the density of states at the Fermi level is 0.0000 states/eV/atom. As for the raw total energy: -7.55 eV/atom. Its raw formation energy is -2.580 eV/atom.

a b c (Å): 6.2409 7.4736 7.4736
angles (deg): 102.64 76.23 76.23
With the nearest neighbours (Å) after each atom.
Sites, in units of the cell vectors:
1 K 0.2500 0.8954 0.1046  6 O 2.75-2.79
2 K 0.7500 0.1046 0.8954  6 O 2.75-2.79
3 Ti 0.3431 0.7236 0.5657  4 O 1.81-1.94
4 Ti 0.1569 0.4343 0.2764  4 O 1.81-1.94
5 Ti 0.6569 0.2764 0.4343  4 O 1.81-1.94
6 Ti 0.8431 0.5657 0.7236  4 O 1.81-1.94
7 Ga 0.2500 0.2029 0.7971  4 O 1.84-1.87
8 Ga 0.7500 0.7971 0.2029  4 O 1.84-1.87
9 O 0.2241 0.9542 0.7530  1 Ti 1.82, 1 Ga 1.87
10 O 0.2759 0.2470 0.0458  1 Ti 1.82, 1 Ga 1.87
11 O 0.7759 0.0458 0.2470  1 Ti 1.82, 1 Ga 1.87
12 O 0.7241 0.7530 0.9542  1 Ti 1.82, 1 Ga 1.87
13 O 0.4764 0.7920 0.3592  1 Ti 1.81, 1 Ga 1.84
14 O 0.0236 0.6408 0.2080  1 Ti 1.81, 1 Ga 1.84
15 O 0.5236 0.2080 0.6408  1 Ti 1.81, 1 Ga 1.84
16 O 0.9764 0.3592 0.7920  1 Ti 1.81, 1 Ga 1.84
17 O 0.0581 0.6580 0.5848  2 Ti 1.86-1.94
18 O 0.4419 0.4152 0.3420  2 Ti 1.86-1.94
19 O 0.9419 0.3420 0.4152  2 Ti 1.86-1.94
20 O 0.5581 0.5848 0.6580  2 Ti 1.86-1.94